{"formula": "BaTe2BrN", "functional": "PBE", "state": "relaxed", "cell": [[6.916, 0.000, 0.000], [0.000, 6.916, 0.000], [0.000, 0.000, 4.515]], "species": ["Ba", "Te", "Te", "Br", "N"], "fractional_positions": [[0.000, 0.000, 0.000], [0.000, 0.500, 0.000], [0.500, 0.000, 0.000], [0.500, 0.500, 0.500], [0.000, 0.000, 0.500]], "raw_formation_energy_ev_per_atom": 0.97, "de_polymorph_mev_per_atom": 492}

=====

{"formula": "Mg2CrHgAu", "functional": "PBE", "state": "relaxed", "cell": [[5.225, 0.000, 0.000], [0.000, 5.225, 0.000], [0.000, 0.000, 5.133]], "species": ["Mg", "Mg", "Cr", "Hg", "Au"], "fractional_positions": [[0.000, 0.500, 0.000], [0.500, 0.000, 0.000], [0.000, 0.000, 0.000], [0.000, 0.000, 0.500], [0.500, 0.500, 0.500]], "formation_enthalpy_0k_ev_per_atom": 0.726}

=====

{"formula": "CsTlRhF6", "functional": "PBE", "state": "relaxed", "cell": [[3.207, -5.581, 0.000], [3.207, 5.581, 0.000], [-0.013, 0.000, 5.762]], "species": ["Cs", "Tl", "Rh", "F", "F", "F", "F", "F", "F"], "fractional_positions": [[0.000, 0.000, 0.000], [0.666, 0.334, 0.500], [0.334, 0.666, 0.500], [0.078, 0.412, 0.309], [0.082, 0.667, 0.693], [0.333, 0.918, 0.307], [0.335, 0.416, 0.693], [0.584, 0.665, 0.307], [0.588, 0.922, 0.691]], "raw_formation_energy_ev_per_atom": -1.98}

=====

Q: Number 3 is which compound?
A: CsTlRhF6